(1)
# Y2MnSnN (PBE, optimized geometry)
data_Y2MnSnN
_space_group_name_H-M_alt 'P 1'
_space_group_IT_number 1
_cell_length_a 4.909
_cell_length_b 4.909
_cell_length_c 4.071
_cell_angle_alpha 90.00
_cell_angle_beta 90.00
_cell_angle_gamma 90.00
loop_
_space_group_symop_operation_xyz
'x,y,z'
loop_
_atom_site_label
_atom_site_fract_x
_atom_site_fract_y
_atom_site_fract_z
Y1 0.000 0.500 0.000
Y2 0.500 0.000 0.000
Mn1 0.000 0.000 0.500
Sn1 0.500 0.500 0.500
N1 0.000 0.000 0.000
# ΔE_f (raw) = -3.97 eV per formula unit


(2)
Entry from the Alexandria database: a geometry-optimized Np4Ta3MoC8 structure (PBE).

Geometry as CIF:
```
data_Np4Ta3MoC8
_space_group_name_H-M_alt 'P 1'
_space_group_IT_number 1
_cell_length_a 6.722
_cell_length_b 6.722
_cell_length_c 6.722
_cell_angle_alpha 57.67
_cell_angle_beta 57.67
_cell_angle_gamma 57.67
loop_
_space_group_symop_operation_xyz
'x,y,z'
loop_
_atom_site_label
_atom_site_fract_x
_atom_site_fract_y
_atom_site_fract_z
Np1 0.000 0.000 0.000
Np2 0.000 0.500 0.500
Np3 0.500 0.000 0.500
Np4 0.500 0.500 0.000
Ta1 0.000 0.000 0.500
Ta2 0.000 0.500 0.000
Ta3 0.500 0.000 0.000
Mo1 0.500 0.500 0.500
C1 0.241 0.241 0.241
C2 0.242 0.742 0.742
C3 0.258 0.258 0.758
C4 0.258 0.758 0.258
C5 0.742 0.242 0.742
C6 0.742 0.742 0.242
C7 0.758 0.258 0.258
C8 0.759 0.759 0.759
```


(3)
# LaCe6Te8 (PBE, optimized geometry)
data_LaCe6Te8
_space_group_name_H-M_alt 'P 1'
_space_group_IT_number 1
_cell_length_a 8.975
_cell_length_b 8.975
_cell_length_c 8.975
_cell_angle_alpha 60.00
_cell_angle_beta 60.00
_cell_angle_gamma 60.00
loop_
_space_group_symop_operation_xyz
'x,y,z'
loop_
_atom_site_label
_atom_site_fract_x
_atom_site_fract_y
_atom_site_fract_z
La1 0.000 0.000 0.000
Ce1 0.000 0.000 0.500
Ce2 0.000 0.500 0.000
Ce3 0.000 0.500 0.500
Ce4 0.500 0.000 0.000
Ce5 0.500 0.000 0.500
Ce6 0.500 0.500 0.000
Te1 0.250 0.250 0.250
Te2 0.257 0.257 0.743
Te3 0.257 0.743 0.257
Te4 0.257 0.743 0.743
Te5 0.743 0.257 0.257
Te6 0.743 0.257 0.743
Te7 0.743 0.743 0.257
Te8 0.750 0.750 0.750
# ΔE_f (raw) = -21.11 eV per formula unit


(4)
# K2TlIBr (PBE, optimized geometry)
data_K2TlIBr
_space_group_name_H-M_alt 'P 1'
_space_group_IT_number 1
_cell_length_a 6.283
_cell_length_b 6.283
_cell_length_c 6.196
_cell_angle_alpha 90.00
_cell_angle_beta 90.00
_cell_angle_gamma 90.00
loop_
_space_group_symop_operation_xyz
'x,y,z'
loop_
_atom_site_label
_atom_site_fract_x
_atom_site_fract_y
_atom_site_fract_z
K1 0.000 0.500 0.000
K2 0.500 0.000 0.000
Tl1 0.000 0.000 0.500
I1 0.500 0.500 0.500
Br1 0.000 0.000 0.000
# ΔE_f (raw) = -4.10 eV per formula unit


(5)
# NpTl2S4 (PBE, optimized geometry)
data_NpTl2S4
_space_group_name_H-M_alt 'P 1'
_space_group_IT_number 1
_cell_length_a 7.592
_cell_length_b 7.592
_cell_length_c 7.592
_cell_angle_alpha 109.91
_cell_angle_beta 109.91
_cell_angle_gamma 108.59
loop_
_space_group_symop_operation_xyz
'x,y,z'
loop_
_atom_site_label
_atom_site_fract_x
_atom_site_fract_y
_atom_site_fract_z
Np1 0.000 0.000 0.000
Np2 0.750 0.250 0.500
Tl1 0.283 0.625 0.158
Tl2 0.375 0.533 0.658
Tl3 0.467 0.125 0.842
Tl4 0.875 0.717 0.342
S1 0.070 0.214 0.747
S2 0.073 0.717 0.753
S3 0.283 0.036 0.356
S4 0.467 0.323 0.253
S5 0.677 0.930 0.144
S6 0.680 0.927 0.644
S7 0.786 0.533 0.856
S8 0.964 0.320 0.247
# ΔE_f (raw) = -3.79 eV per formula unit
# Distance to the lowest polymorph of the same formula = 0.83 eV/f.u.


Number 1: total energy -7.6795 eV/atom. Number 2: total energy -11.0306 eV/atom. Number 3: total energy -5.7847 eV/atom. Number 4: total energy -2.3771 eV/atom. Number 5: total energy -5.4246 eV/atom.